Record 1
Material: CePmTlPt
Method: DFT, GGA-PBE
State: optimized geometry

- energy of formation (eV per atom) = -0.540
- space group = No. 216

Cell and atoms, written as extended XYZ:
```
4
Lattice="-4.870 -1.564 -1.315 -3.137 -2.202 3.633 -4.200 2.640 1.811" Properties=species:S:1:pos:R:3 pbc="T T T"
Tl -3.052 -0.281 1.033
Ce -6.104 -0.563 2.065
Pt -9.156 -0.844 3.098
Pm 0.000 0.000 0.000
```

Record 2
Material: BaTiHgBi2
Method: DFT, GGA-PBE
State: optimized geometry

- energy of formation (eV per atom) = -0.370
- space group = No. 123

Cell and atoms, written as extended XYZ:
```
5
Lattice="5.497 0.000 0.000 0.000 5.497 0.000 0.000 0.000 5.466" Properties=species:S:1:pos:R:3 pbc="T T T"
Ba 2.749 2.749 2.733
Ti 0.000 0.000 0.000
Bi 0.000 2.749 0.000
Bi 2.749 0.000 0.000
Hg 0.000 0.000 2.733
```

> energy of formation of number 1 (CePmTlPt)?

-0.540 eV per atom